The following is a DFT calculation (GGA-PBE) of crystalline CaSc2RhI at its relaxed geometry.

Results
N(E_F) (states/eV per atom): 1.243
Formation energy from raw total energies (eV per atom): -0.1393

Lattice parameters (Å, degrees): 4.9511 4.9511 5.9943 90.00 90.00 90.00
Last column: nearest neighbours and their distance in Å.
Space group P4/mmm (No. 123)
Asymmetric unit:
Ca: 0.0000 0.0000 0.0000 (multiplicity 1)  4 I 3.50, 8 Sc 3.89
Sc: 0.0000 0.5000 0.5000 (multiplicity 2)  2 Rh 2.48
Rh: 0.5000 0.5000 0.5000 (multiplicity 1)  4 Sc 2.48
I: 0.5000 0.5000 0.0000 (multiplicity 1)  2 Rh 3.00